MnPCO2 | GGA+U | relaxed

Cell lengths 3.7272, 3.7272, 3.7703 Å; angles 90.00, 90.00, 90.00 degrees
Last column: nearest neighbours and their distance in Å.
Space group P4/mmm (No. 123)
Symmetry-distinct sites (fractional):
1 Mn 0.0000 0.0000 0.0000 x1  4 P 2.64, 8 O 2.65
2 P 0.5000 0.5000 0.0000 x1  2 C 1.89
3 C 0.5000 0.5000 0.5000 x1  4 O 1.86, 2 P 1.89
4 O 0.0000 0.5000 0.5000 x2  2 C 1.86

Summary:
E_tot, eV per formula unit: -28.314